Material: Ag7PbAu4
Method: DFT, PBE-GGA
State: optimized geometry

Values from the calculation:
Its density is 11.8 g/cm³. As for the formation energy: 146 meV/atom. The calculation puts the total energy at -2.918 eV/atom.

```
data_Ag7PbAu4
_chemical_formula_sum 'Ag14 Pb2 Au8'
_cell_length_a 10.662
_cell_length_b 5.239
_cell_length_c 10.161
_cell_angle_alpha 90.00
_cell_angle_beta 120.05
_cell_angle_gamma 90.00
_symmetry_space_group_name_H-M 'C 1 2/m 1'
_symmetry_Int_Tables_number 12
loop_
_symmetry_equiv_pos_as_xyz
'x,y,z'
'-x,-y,-z'
'-x,y,-z'
'x,-y,z'
'x+1/2,y+1/2,z'
'-x+1/2,-y+1/2,-z'
'-x+1/2,y+1/2,-z'
'x+1/2,-y+1/2,z'
loop_
_atom_site_label
_atom_site_fract_x
_atom_site_fract_y
_atom_site_fract_z
_atom_site_occupancy
Ag1 0.000 0.000 0.000 1
Ag2 0.108 0.500 0.448 1
Ag3 0.152 0.000 0.617 1
Ag4 0.203 0.000 0.911 1
Pb1 0.000 0.500 0.000 1
Au1 0.094 0.000 0.316 1
Au2 0.188 0.500 0.769 1
```